LiPb2Au (PBE-GGA, relaxed); electronic total energy = -13.28 eV for the cell shown; SG = C2/m; energy relative to the lowest polymorph listed for this composition = 0.97 kcal/mol of atoms; energy of formation = -0.167 eV/atom; DOS(E_F) = 1.666 states/eV/f.u.; density = 10.90 Mg/m³
1.0
8.0384 0.0793 0.1670
-2.9983 3.7522 0.0750
2.0419 1.5170 3.1963
Au Li Pb
1 1 2
Cartesian
-0.4782 2.6346 1.6356 Au
2.5201 1.9157 0.1210 Li
0.0000 0.0000 0.0000 Pb
5.0401 0.7981 1.6817 Pb